ZnAs2RuO8 after structural relaxation. Source: the Alexandria database, functional PBE-GGA.

Computed properties:
energy	-5.811	eV per atom
symmetry	I-4m2, No. 119
ΔE_f (raw)	-0.85	eV/atom

Geometry as POSCAR:
```
ZnAs2RuO8
1.0
0.174 -1.307 5.521
5.107 -0.368 -2.450
-1.815 5.356 -0.492
Zn As Ru O
1 2 1 8
direct
0.000 0.000 0.000 Zn
0.750 0.250 0.500 As
0.500 0.500 0.000 As
0.250 0.750 0.500 Ru
0.375 0.066 0.309 O
0.313 0.506 0.192 O
0.313 0.121 0.808 O
0.756 0.066 0.691 O
0.879 0.687 0.192 O
0.934 0.244 0.309 O
0.934 0.625 0.691 O
0.494 0.687 0.808 O
```